This record from Alexandria describes an optimized crystal structure of TaIBr4. The functional is PBE-GGA.

Cell lengths 5.750, 14.719, 7.053 Å; angles 90.00, 114.33, 90.00 degrees
Positions (direct):
Ta1 0.000 0.000 0.000
Ta2 0.000 0.500 0.500
I1 0.500 0.000 0.000
I2 0.500 0.500 0.500
Br1 0.137 0.121 0.270
Br2 0.137 0.379 0.770
Br3 0.140 0.618 0.777
Br4 0.140 0.882 0.277
Br5 0.860 0.118 0.723
Br6 0.860 0.382 0.223
Br7 0.863 0.621 0.230
Br8 0.863 0.879 0.730

Results
- Total magnetic moment: 0.000 μB per formula unit
- ΔE_f (raw): -0.690 eV/atom

This record from Alexandria describes an optimized crystal structure of KCaMg. The functional is PBE-GGA.

Cell lengths 6.089, 6.089, 3.757 Å; angles 90.00, 90.00, 120.00 degrees
Positions (direct):
K1 0.000 0.000 0.000
Ca1 0.333 0.667 0.637
Mg1 0.667 0.333 0.297

Results
- Total magnetic moment: 0.000 μB per formula unit
- DFT formation energy: 0.22 eV/atom

This record from Alexandria describes an optimized crystal structure of HoAl3Tc. The functional is PBE-GGA.

Cell lengths 6.697, 6.697, 6.697 Å; angles 128.67, 91.07, 110.88 degrees
Positions (direct):
Ho1 0.357 0.107 0.250
Ho2 0.643 0.893 0.750
Al1 0.197 0.447 0.750
Al2 0.208 0.000 0.708
Al3 0.208 0.500 0.208
Al4 0.792 0.000 0.292
Al5 0.792 0.500 0.792
Al6 0.803 0.553 0.250
Tc1 0.000 0.500 0.500
Tc2 0.500 0.500 0.000

Results
- Total magnetic moment: 0.000 μB per formula unit
- DFT formation energy: -0.25 eV/atom

This record from Alexandria describes an optimized crystal structure of PrTmRh. The functional is PBE-GGA.

Cell lengths 6.824, 6.824, 6.824 Å; angles 150.35, 150.35, 42.43 degrees
Positions (direct):
Pr1 0.000 0.000 0.000
Tm1 0.263 0.263 0.000
Rh1 0.649 0.649 0.000

Results
- Energy above the lowest structure with this stoichiometry: 96 meV/atom
- Total magnetic moment: 0.000 μB per formula unit
- DFT formation energy: -0.50 eV/atom

This record from Alexandria describes an optimized crystal structure of Rb2CaSn10. The functional is PBE-GGA.

Cell lengths 11.861, 12.734, 6.747 Å; angles 90.00, 90.00, 90.00 degrees
Positions (direct):
Rb1 0.182 0.079 0.000
Rb2 0.318 0.579 0.000
Rb3 0.682 0.421 0.000
Rb4 0.818 0.921 0.000
Ca1 0.000 0.500 0.500
Ca2 0.500 0.000 0.500
Sn1 0.025 0.201 0.500
Sn2 0.171 0.972 0.500
Sn3 0.174 0.340 0.237
Sn4 0.174 0.340 0.763
Sn5 0.202 0.691 0.500
Sn6 0.298 0.191 0.500
Sn7 0.326 0.840 0.237
Sn8 0.326 0.840 0.763
Sn9 0.329 0.472 0.500
Sn10 0.475 0.701 0.500
Sn11 0.525 0.299 0.500
Sn12 0.671 0.528 0.500
Sn13 0.674 0.160 0.237
Sn14 0.674 0.160 0.763
Sn15 0.702 0.809 0.500
Sn16 0.798 0.309 0.500
Sn17 0.826 0.660 0.237
Sn18 0.826 0.660 0.763
Sn19 0.829 0.028 0.500
Sn20 0.975 0.799 0.500

Results
- Total magnetic moment: 0.000 μB per formula unit
- DFT formation energy: -0.08 eV/atom

This record from Alexandria describes an optimized crystal structure of Ge5Pb3S12. The functional is PBE-GGA.

Cell lengths 13.497, 13.497, 13.497 Å; angles 109.47, 109.47, 109.47 degrees
Positions (direct):
Ge1 0.000 0.000 0.000
Ge2 0.000 0.000 0.500
Ge3 0.000 0.500 0.000
Ge4 0.000 0.500 0.500
Ge5 0.125 0.750 0.875
Ge6 0.125 0.875 0.250
Ge7 0.250 0.125 0.875
Ge8 0.250 0.625 0.375
Ge9 0.375 0.250 0.625
Ge10 0.375 0.625 0.750
Ge11 0.500 0.000 0.000
Ge12 0.500 0.000 0.500
Ge13 0.500 0.500 0.000
Ge14 0.500 0.500 0.500
Ge15 0.625 0.375 0.250
Ge16 0.625 0.750 0.375
Ge17 0.750 0.375 0.625
Ge18 0.750 0.875 0.125
Ge19 0.875 0.125 0.750
Ge20 0.875 0.250 0.125
Pb1 0.125 0.250 0.375
Pb2 0.125 0.375 0.750
Pb3 0.250 0.375 0.125
Pb4 0.250 0.875 0.625
Pb5 0.375 0.125 0.250
Pb6 0.375 0.750 0.125
Pb7 0.625 0.250 0.875
Pb8 0.625 0.875 0.750
Pb9 0.750 0.125 0.375
Pb10 0.750 0.625 0.875
Pb11 0.875 0.625 0.250
Pb12 0.875 0.750 0.625
S1 0.023 0.208 0.119
S2 0.023 0.315 0.904
S3 0.090 0.708 0.685
S4 0.090 0.881 0.404
S5 0.096 0.619 0.410
S6 0.096 0.977 0.685
S7 0.119 0.023 0.208
S8 0.119 0.596 0.910
S9 0.185 0.208 0.590
S10 0.185 0.477 0.596
S11 0.208 0.119 0.023
S12 0.208 0.590 0.185
S13 0.292 0.315 0.910
S14 0.292 0.477 0.381
S15 0.315 0.904 0.023
S16 0.315 0.910 0.292
S17 0.381 0.292 0.477
S18 0.381 0.590 0.904
S19 0.404 0.090 0.881
S20 0.404 0.815 0.523
S21 0.410 0.096 0.619
S22 0.410 0.815 0.792
S23 0.477 0.381 0.292
S24 0.477 0.596 0.185
S25 0.523 0.404 0.815
S26 0.523 0.619 0.708
S27 0.590 0.185 0.208
S28 0.590 0.904 0.381
S29 0.596 0.185 0.477
S30 0.596 0.910 0.119
S31 0.619 0.410 0.096
S32 0.619 0.708 0.523
S33 0.685 0.090 0.708
S34 0.685 0.096 0.977
S35 0.708 0.523 0.619
S36 0.708 0.685 0.090
S37 0.792 0.410 0.815
S38 0.792 0.881 0.977
S39 0.815 0.523 0.404
S40 0.815 0.792 0.410
S41 0.881 0.404 0.090
S42 0.881 0.977 0.792
S43 0.904 0.023 0.315
S44 0.904 0.381 0.590
S45 0.910 0.119 0.596
S46 0.910 0.292 0.315
S47 0.977 0.685 0.096
S48 0.977 0.792 0.881

Results
- Total magnetic moment: 0.000 μB per formula unit
- ΔE_f (raw): -0.283 eV/atom

This record from Alexandria describes an optimized crystal structure of TiHIr2W. The functional is PBE-GGA.

Cell lengths 3.947, 3.947, 3.996 Å; angles 90.00, 90.00, 90.00 degrees
Positions (direct):
Ti1 0.000 0.000 0.000
H1 0.000 0.000 0.500
Ir1 0.000 0.500 0.500
Ir2 0.500 0.000 0.500
W1 0.500 0.500 0.000

Results
- Total magnetic moment: 0.000 μB per formula unit
- Uncorrected energy: -8.7045 eV/atom

This record from Alexandria describes an optimized crystal structure of HoTaGa6. The functional is PBE-GGA.

Cell lengths 5.647, 5.647, 6.009 Å; angles 101.42, 101.42, 96.93 degrees
Positions (direct):
Ho1 0.000 0.000 0.000
Ta1 0.000 0.000 0.500
Ga1 0.016 0.555 0.237
Ga2 0.336 0.336 0.477
Ga3 0.445 0.984 0.763
Ga4 0.555 0.016 0.237
Ga5 0.664 0.664 0.523
Ga6 0.984 0.445 0.763

Results
- Total magnetic moment: 0.000 μB per formula unit
- DFT formation energy: 0.04 eV/atom

This record from Alexandria describes an optimized crystal structure of Pu2InAu3. The functional is PBE-GGA.

Cell lengths 9.938, 9.137, 5.837 Å; angles 79.86, 64.82, 35.32 degrees
Positions (direct):
Pu1 0.243 0.757 0.757
Pu2 0.250 0.250 0.250
Pu3 0.750 0.750 0.750
Pu4 0.757 0.243 0.243
In1 0.334 0.334 0.666
In2 0.666 0.666 0.334
Au1 0.167 0.167 0.833
Au2 0.169 0.664 0.336
Au3 0.336 0.831 0.169
Au4 0.664 0.169 0.831
Au5 0.831 0.336 0.664
Au6 0.833 0.833 0.167

Results
- Energy above the lowest structure with this stoichiometry: 0 meV/atom
- Total magnetic moment: 11.193 μB per formula unit
- DFT formation energy: -0.45 eV/atom

This record from Alexandria describes an optimized crystal structure of NaSbAu. The functional is PBE-GGA.

Cell lengths 6.007, 6.007, 6.007 Å; angles 141.90, 141.90, 54.98 degrees
Positions (direct):
Na1 0.000 0.000 0.000
Sb1 0.286 0.286 0.000
Au1 0.725 0.725 0.000

Results
- Total magnetic moment: 0.000 μB per formula unit
- ΔE_f (raw): -0.202 eV/atom

This record from Alexandria describes an optimized crystal structure of Li2AcPrGe2. The functional is PBE-GGA.

Cell lengths 4.601, 4.601, 7.925 Å; angles 90.00, 90.00, 120.00 degrees
Positions (direct):
Li1 0.333 0.667 0.213
Li2 0.667 0.333 0.787
Ac1 0.000 0.000 0.500
Pr1 0.000 0.000 0.000
Ge1 0.333 0.667 0.768
Ge2 0.667 0.333 0.232

Results
- Total magnetic moment: 0.000 μB per formula unit
- DFT formation energy: -0.64 eV/atom

This record from Alexandria describes an optimized crystal structure of PmSm6Tm2Th. The functional is PBE-GGA.

Cell lengths 8.825, 8.825, 9.598 Å; angles 93.61, 93.61, 115.81 degrees
Positions (direct):
Pm1 0.093 0.907 0.750
Pm2 0.907 0.093 0.250
Sm1 0.016 0.796 0.383
Sm2 0.074 0.514 0.184
Sm3 0.204 0.984 0.117
Sm4 0.263 0.609 0.559
Sm5 0.391 0.737 0.941
Sm6 0.486 0.926 0.316
Sm7 0.514 0.074 0.684
Sm8 0.609 0.263 0.059
Sm9 0.737 0.391 0.441
Sm10 0.796 0.016 0.883
Sm11 0.926 0.486 0.816
Sm12 0.984 0.204 0.617
Tm1 0.207 0.301 0.947
Tm2 0.301 0.207 0.447
Tm3 0.699 0.793 0.553
Tm4 0.793 0.699 0.053
Th1 0.467 0.533 0.250
Th2 0.533 0.467 0.750

Results
- Total magnetic moment: 0.000 μB per formula unit
- DFT formation energy: 0.14 eV/atom

Question: What is the total magnetic moment in the sixth record?
Answer: 0.000 μB per formula unit